# 1
DyMg3Cu after structural relaxation, computed with PBE-GGA.

a b c (Å): 8.3191 12.1839 4.3275
angles (deg): 90.00 90.00 90.00
Last column: nearest neighbours and their distance in Å.
Space group Cmmm (No. 65)
Unique sites:
Dy  0.0000  0.2073  0.0000 (multiplicity 4)  2 Cu 2.96
Mg  0.0000  0.0000  0.5000 (multiplicity 2)  4 Cu 2.66
Mg  0.0000  0.5000  0.0000 (multiplicity 2)  2 Cu 2.61
Mg  0.1952  0.3703  0.5000 (multiplicity 8)  2 Cu 2.86, 5 Mg 2.99-3.16
Cu  0.1862  0.0000  0.0000 (multiplicity 4)  7 Mg 2.61-2.86

Computed properties:
ΔE_f: -0.119 eV per atom
Total DFT energy (no corrections): -2.8159 eV per atom
Relative energy among the computed polymorphs: 0 meV per atom

***

# 2
Dy4Mg3Cu after structural relaxation, computed with PBE-GGA.

a b c (Å): 3.6387 3.6387 15.3904
angles (deg): 90.00 90.00 90.00
Last column: nearest neighbours and their distance in Å.
Space group P4/mmm (No. 123)
Unique sites:
Dy  0.0000  0.0000  0.1065 (multiplicity 2)  4 Cu 3.05, 1 Dy 3.28, 4 Mg 3.29
Dy  0.0000  0.0000  0.3686 (multiplicity 2)  8 Mg 3.24-3.27
Mg  0.5000  0.5000  0.2402 (multiplicity 2)  8 Dy 3.24-3.29
Mg  0.5000  0.5000  0.5000 (multiplicity 1)  8 Dy 3.27, 4 Mg 3.64
Cu  0.5000  0.5000  0.0000 (multiplicity 1)  8 Dy 3.05

Computed properties:
ΔE_f: -0.104 eV per atom
Total DFT energy (no corrections): -3.5148 eV per atom

***

# 3
DyMg2Cu after structural relaxation, computed with PBE-GGA.

a b c (Å): 3.1876 3.1876 31.3662
angles (deg): 90.00 90.00 120.00
Last column: nearest neighbours and their distance in Å.
Space group R-3m (No. 166, hexagonal axes)
Unique sites:
Dy  0.0000  0.0000  0.0000 (multiplicity 3)  6 Dy 3.19, 2 Mg 3.23
Mg  0.0000  0.0000  0.1030 (multiplicity 6)  3 Cu 2.72
Cu  0.0000  0.0000  0.5000 (multiplicity 3)  6 Mg 2.72

Computed properties:
ΔE_f: 0.249 eV per atom
Total DFT energy (no corrections): -2.7227 eV per atom

***

# 4
Dy12MgCu6 after structural relaxation, computed with PBE-GGA.

a b c (Å): 9.8862 9.8862 9.8862
angles (deg): 90.00 90.00 90.00
Last column: nearest neighbours and their distance in Å.
Space group Im-3 (No. 204)
Unique sites:
Dy  0.0000  0.1889  0.2974 (multiplicity 24)  3 Cu 2.73-3.00
Mg  0.0000  0.0000  0.0000 (multiplicity 2)  12 Dy 3.48
Cu  0.0000  0.3763  0.5000 (multiplicity 12)  1 Cu 2.45, 2 Dy 2.73

Computed properties:
ΔE_f: -0.136 eV per atom
Total DFT energy (no corrections): -4.4202 eV per atom

***

# 5
DyMg2Cu after structural relaxation, computed with PBE-GGA.

a b c (Å): 4.2050 4.2050 4.9354
angles (deg): 90.00 90.00 90.00
Last column: nearest neighbours and their distance in Å.
Space group P4/mmm (No. 123)
Unique sites:
Dy  0.0000  0.0000  0.0000 (multiplicity 1)  4 Cu 2.97, 8 Mg 3.24
Mg  0.0000  0.5000  0.5000 (multiplicity 2)  4 Mg 2.97, 4 Dy 3.24, 4 Cu 3.24
Cu  0.5000  0.5000  0.0000 (multiplicity 1)  4 Dy 2.97, 8 Mg 3.24

Computed properties:
ΔE_f: -0.022 eV per atom
Total DFT energy (no corrections): -2.9938 eV per atom

***

# 6
Dy2MgCu12Ni3 after structural relaxation, computed with PBE-GGA.

a b c (Å): 8.4725 8.4725 12.3213
angles (deg): 90.00 90.00 120.00
Last column: nearest neighbours and their distance in Å.
Space group R-3m (No. 166, hexagonal axes)
Unique sites:
Dy  0.0000  0.0000  0.2400 (multiplicity 6)  3 Ni 2.70, 6 Cu 2.78-2.85
Mg  0.0000  0.0000  0.5000 (multiplicity 3)  6 Cu 2.44
Cu  0.0073  0.5036  0.2052 (multiplicity 18)  5 Cu 2.40-2.57, 1 Mg 2.44, 1 Ni 2.53
Cu  0.0425  0.5213  0.6018 (multiplicity 18)  6 Cu 2.40-2.67
Ni  0.0000  0.5000  0.0000 (multiplicity 9)  6 Cu 2.53-2.73, 2 Dy 2.70

Computed properties:
ΔE_f: 0.023 eV per atom
Total DFT energy (no corrections): -4.2710 eV per atom

***

# 7
PrDyMgCu after structural relaxation, computed with PBE-GGA.

a b c (Å): 7.4027 7.4027 7.4027
angles (deg): 90.00 90.00 90.00
Last column: nearest neighbours and their distance in Å.
Space group F-43m (No. 216)
Unique sites:
Pr  0.0000  0.0000  0.0000 (multiplicity 4)  4 Mg 3.21, 4 Cu 3.21
Dy  0.0000  0.0000  0.5000 (multiplicity 4)  4 Mg 3.21, 4 Cu 3.21
Mg  0.2500  0.2500  0.2500 (multiplicity 4)  4 Dy 3.21, 4 Pr 3.21
Cu  0.2500  0.2500  0.7500 (multiplicity 4)  4 Dy 3.21, 4 Pr 3.21

Computed properties:
ΔE_f: -0.041 eV per atom
Total DFT energy (no corrections): -3.8093 eV per atom

***

# 8
DyMgCuPt after structural relaxation, computed with PBE-GGA.

a b c (Å): 6.6946 6.6946 6.6946
angles (deg): 90.00 90.00 90.00
Last column: nearest neighbours and their distance in Å.
Space group F-43m (No. 216)
Unique sites:
Dy  0.0000  0.0000  0.0000 (multiplicity 4)  4 Cu 2.90, 4 Pt 2.90
Mg  0.0000  0.0000  0.5000 (multiplicity 4)  4 Pt 2.90, 4 Cu 2.90
Cu  0.2500  0.2500  0.2500 (multiplicity 4)  4 Mg 2.90, 4 Dy 2.90
Pt  0.2500  0.2500  0.7500 (multiplicity 4)  4 Dy 2.90, 4 Mg 2.90

Computed properties:
ΔE_f: -0.653 eV per atom
Total DFT energy (no corrections): -4.7366 eV per atom

***

> Which value of total DFT energy (no corrections) does entry 7 give?

-3.8093 eV per atom

***

> Which of these has the lowest total DFT energy (no corrections)?

DyMgCuPt

***

> The lowest total DFT energy (no corrections) belongs to which entry?

DyMgCuPt